[1]
This record from Alexandria describes a relaxed structure of ErNpAl. The functional is PBE.

Cell lengths 5.055, 3.548, 7.754 Å; angles 90.00, 98.89, 90.00 degrees
Space group P2_1/m (No. 11)
Inequivalent atoms, fractional coordinates:
Er 0.039 0.250 0.182 [2 per cell]
Np 0.341 0.750 0.513 [2 per cell]
Al 0.475 0.250 0.859 [2 per cell]

Calculated values
Calculated volume = 22.899 A^3/atom
DFT formation energy = -0.02 eV/atom
Raw total energy = -7.10 eV per atom


[2]
This record from Alexandria describes a relaxed structure of CaInAu2. The functional is PBE.

Cell lengths 3.703, 3.663, 6.648 Å; angles 90.00, 90.11, 90.00 degrees
Space group P2/m (No. 10)
Inequivalent atoms, fractional coordinates:
Ca 0.000 0.000 0.000 [1 per cell]
In 0.000 0.000 0.500 [1 per cell]
Au 0.499 0.500 0.742 [2 per cell]

Calculated values
Calculated volume = 22.539 A^3/atom
DFT formation energy = -0.53 eV/atom
Raw total energy = -3.35 eV per atom


[3]
This record from Alexandria describes a relaxed structure of PuBeFe. The functional is PBE.

Cell lengths 3.9498, 3.9498, 3.4808 Å; angles 90.00, 90.00, 120.00 degrees
Space group P-6m2 (No. 187)
Inequivalent atoms, fractional coordinates:
Pu 0.0000 0.0000 0.0000 [1 per cell]
Be 0.3333 0.6667 0.5000 [1 per cell]
Fe 0.6667 0.3333 0.5000 [1 per cell]

Calculated values
Calculated volume = 15.676 A^3/atom
DFT formation energy = 0.11 eV/atom
Raw total energy = -8.73 eV per atom
Offset from the most stable computed form = 0.00 eV per formula unit